Entry 1:
! AgAsPt | Alexandria via LeMat-Bulk | PBE | optimized geometry; values from VASP
! **Space-group type**: No. 187
&SYSTEM
  ibrav = 0, nat = 3, ntyp = 3
/
ATOMIC_SPECIES
Ag 107.87 Ag.upf
As 74.92 As.upf
Pt 195.08 Pt.upf
CELL_PARAMETERS angstrom
4.457 0.000 0.000
-2.229 3.860 0.000
0.000 0.000 3.015
ATOMIC_POSITIONS crystal
Ag 0.000 0.000 0.000
As 0.667 0.333 0.500
Pt 0.333 0.667 0.500

=====

Entry 2:
! Ag2AsPt2 | Alexandria via LeMat-Bulk | PBE | optimized geometry; values from VASP
! **Space-group type**: No. 127
&SYSTEM
  ibrav = 0, nat = 10, ntyp = 3
/
ATOMIC_SPECIES
Ag 107.87 Ag.upf
As 74.92 As.upf
Pt 195.08 Pt.upf
CELL_PARAMETERS angstrom
7.939 0.000 0.000
0.000 7.939 0.000
0.000 0.000 2.867
ATOMIC_POSITIONS crystal
Ag 0.127 0.373 0.000
Ag 0.373 0.873 0.000
Ag 0.627 0.127 0.000
Ag 0.873 0.627 0.000
As 0.000 0.000 0.000
As 0.500 0.500 0.000
Pt 0.171 0.671 0.500
Pt 0.329 0.171 0.500
Pt 0.671 0.829 0.500
Pt 0.829 0.329 0.500

=====

Entry 3:
! AgAs3Pt | Alexandria via LeMat-Bulk | PBE | optimized geometry; values from VASP
! **Space-group type**: No. 221
&SYSTEM
  ibrav = 0, nat = 5, ntyp = 3
/
ATOMIC_SPECIES
Ag 107.87 Ag.upf
As 74.92 As.upf
Pt 195.08 Pt.upf
CELL_PARAMETERS angstrom
4.951 0.000 0.000
0.000 4.951 0.000
0.000 0.000 4.951
ATOMIC_POSITIONS crystal
Ag 0.000 0.000 0.000
As 0.000 0.500 0.500
As 0.500 0.000 0.500
As 0.500 0.500 0.000
Pt 0.500 0.500 0.500

=====

Entry 4:
! AgAsPt | Alexandria via LeMat-Bulk | PBE | optimized geometry; values from VASP
! **Space-group type**: No. 216
&SYSTEM
  ibrav = 0, nat = 3, ntyp = 3
/
ATOMIC_SPECIES
Ag 107.87 Ag.upf
As 74.92 As.upf
Pt 195.08 Pt.upf
CELL_PARAMETERS angstrom
0.000 3.095 3.095
3.095 0.000 3.095
3.095 3.095 0.000
ATOMIC_POSITIONS crystal
Ag 0.000 0.000 0.000
As 0.500 0.500 0.500
Pt 0.250 0.250 0.250

=====

Respective energy relative to the lowest polymorph listed for this composition values: 6.3 30.5 0.0 11.9 kJ per mole of atoms.
Respective mass density values: 12.094 12.513 7.221 10.585 Mg/m³.
Respective formation enthalpy at 0 K values: -0.036 0.322 0.653 0.022 eV per atom.